No. 1
Density functional theory data (GGA-PBE) for crystalline SrAsPd at its relaxed geometry.

The value obtained for the energy is -0.353 Ry per atom. The magnetic moment is 0.00 μB per formula unit. Its energy relative to the elements is -0.967 eV per atom.

It has space group P6_3/mmc (No. 194), with a = 4.3118 Å, b = 4.3118 Å, c = 18.0912 Å, α = 90.00°, β = 90.00° and γ = 120.00°. The inequivalent atoms are Sr at (0.0000, 0.0000, 0.0000), Sr at (0.0000, 0.0000, 0.2500), As at (0.3333, 0.6667, 0.1241) and Pd at (0.3333, 0.6667, 0.6257).



No. 2
Density functional theory data (GGA-PBE) for crystalline MnGa4Co2Ni at its relaxed geometry.

The value obtained for the energy is -0.395 Ry per atom. The magnetic moment is 3.48 μB per formula unit. Its energy relative to the elements is -0.220 eV per atom.

It has space group R-3m (No. 166, hexagonal axes), with a = 4.1352 Å, b = 4.1352 Å, c = 20.3266 Å, α = 90.00°, β = 90.00° and γ = 120.00°. The inequivalent atoms are Mn at (0.0000, 0.0000, 0.0000), Ga at (0.0000, 0.0000, 0.1278), Ga at (0.0000, 0.0000, 0.3786), Co at (0.0000, 0.0000, 0.2551) and Ni at (0.0000, 0.0000, 0.5000).



No. 3
Density functional theory data (GGA-PBE) for crystalline Mg4TlHg at its relaxed geometry.

The value obtained for the energy is -0.115 Ry per atom. The magnetic moment is 0.00 μB per formula unit. Its energy relative to the elements is -0.060 eV per atom. For the distance to the lowest polymorph of the same formula, the calculation gives 0.027 eV per atom.

It has space group P4/mmm (No. 123), with a = 4.7635 Å, b = 4.7635 Å, c = 6.7485 Å, α = 90.00°, β = 90.00° and γ = 90.00°. The inequivalent atoms are Mg at (0.0000, 0.5000, 0.2426), Tl at (0.0000, 0.0000, 0.5000) and Hg at (0.5000, 0.5000, 0.0000).



No. 4
Density functional theory data (GGA-PBE) for crystalline Zr2TiBiRh at its relaxed geometry.

The value obtained for the energy is -0.533 Ry per atom. The magnetic moment is 0.00 μB per formula unit. Its energy relative to the elements is -0.002 eV per atom.

It has space group P4/mmm (No. 123), with a = 5.0889 Å, b = 5.0889 Å, c = 4.7001 Å, α = 90.00°, β = 90.00° and γ = 90.00°. The inequivalent atoms are Zr at (0.0000, 0.5000, 0.0000), Ti at (0.0000, 0.0000, 0.5000), Bi at (0.5000, 0.5000, 0.5000) and Rh at (0.0000, 0.0000, 0.0000).